No. 1
BaSr2La | PBE | relaxed

Cell lengths 5.8654, 5.8654, 11.7758 Å; angles 90.00, 90.00, 90.00 degrees
Space group I4/mmm (No. 139)
One atom of each set of equivalent atoms:
Ba (0.0000, 0.0000, 0.0000) x2
Sr (0.0000, 0.5000, 0.2500) x4
La (0.0000, 0.0000, 0.5000) x2

Values from the calculation:
Volume ... 50.64 Å³ per atom
Density of states at the Fermi level ... 1.9347 states/eV per atom
Mass density ... 3.7 g cm⁻³

=====

No. 2
BaSr2La | PBE | relaxed

Cell lengths 13.7762, 4.0979, 7.2492 Å; angles 90.00, 100.34, 90.00 degrees
Space group Cm (No. 8)
One atom of each set of equivalent atoms:
Ba (0.0000, 0.0000, 0.0000) x2
Sr (0.2420, 0.0000, 0.7355) x2
Sr (0.4852, 0.0000, 0.4783) x2
La (0.2405, 0.5000, 0.2356) x2

Values from the calculation:
Volume ... 50.32 Å³ per atom
Density of states at the Fermi level ... 1.8491 states/eV per atom
Mass density ... 3.7 g cm⁻³

=====

No. 3
BaSr2La | PBE | relaxed

Cell lengths 4.5400, 6.5602, 13.3918 Å; angles 90.00, 90.00, 90.00 degrees
Space group Cmmm (No. 65)
One atom of each set of equivalent atoms:
Ba (0.0000, 0.0000, 0.0000) x2
Sr (0.0000, 0.5000, 0.2634) x4
La (0.0000, 0.0000, 0.5000) x2

Values from the calculation:
Volume ... 49.86 Å³ per atom
Density of states at the Fermi level ... 1.3141 states/eV per atom
Mass density ... 3.8 g cm⁻³

=====

No. 4
BaSr2La | PBE | relaxed

Cell lengths 4.4969, 6.6874, 13.3104 Å; angles 90.00, 90.00, 90.00 degrees
Space group Imm2 (No. 44)
One atom of each set of equivalent atoms:
Ba (0.0000, 0.0000, 0.0000) x2
Sr (0.0000, 0.0000, 0.5138) x2
Sr (0.0000, 0.5000, 0.7586) x2
La (0.0000, 0.5000, 0.2556) x2

Values from the calculation:
Volume ... 50.03 Å³ per atom
Density of states at the Fermi level ... 1.2178 states/eV per atom
Mass density ... 3.7 g cm⁻³

=====

No. 5
BaSr2La | PBE | relaxed

Cell lengths 8.0171, 13.2190, 3.9712 Å; angles 90.00, 109.26, 90.00 degrees
Space group C2/m (No. 12)
One atom of each set of equivalent atoms:
Ba (0.0000, 0.0000, 0.0000) x2
Sr (0.2500, 0.2500, 0.5000) x4
La (0.0000, 0.5000, 0.0000) x2

Values from the calculation:
Volume ... 49.66 Å³ per atom
Density of states at the Fermi level ... 1.0840 states/eV per atom
Mass density ... 3.8 g cm⁻³

=====

No. 6
BaSr2La | PBE | relaxed

Cell lengths 5.8096, 5.8096, 6.0021 Å; angles 90.00, 90.00, 90.00 degrees
Space group P4/mmm (No. 123)
One atom of each set of equivalent atoms:
Ba (0.0000, 0.0000, 0.0000) x1
Sr (0.0000, 0.5000, 0.5000) x2
La (0.5000, 0.5000, 0.0000) x1

Values from the calculation:
Volume ... 50.64 Å³ per atom
Density of states at the Fermi level ... 2.0145 states/eV per atom
Mass density ... 3.7 g cm⁻³

=====

No. 7
BaSr2La | PBE | relaxed

Cell lengths 10.1545, 10.1545, 7.6199 Å; angles 90.00, 90.00, 90.00 degrees
Space group I-42d (No. 122)
One atom of each set of equivalent atoms:
Ba (0.0000, 0.0000, 0.0000) x4
Sr (0.2428, 0.2500, 0.6250) x8
La (0.0000, 0.0000, 0.5000) x4

Values from the calculation:
Volume ... 49.11 Å³ per atom
Density of states at the Fermi level ... 1.7157 states/eV per atom
Mass density ... 3.8 g cm⁻³

=====

No. 8
BaSr2La | PBE | relaxed

Cell lengths 4.5672, 6.5870, 13.3333 Å; angles 90.00, 90.00, 90.00 degrees
Space group Cmm2 (No. 35)
One atom of each set of equivalent atoms:
Ba (0.0000, 0.0000, 0.0000) x2
Sr (0.0000, 0.0000, 0.4772) x2
Sr (0.0000, 0.5000, 0.7346) x2
La (0.0000, 0.5000, 0.2418) x2

Values from the calculation:
Volume ... 50.14 Å³ per atom
Density of states at the Fermi level ... 1.3914 states/eV per atom
Mass density ... 3.7 g cm⁻³

=====

Energy of formation from the pure elements list, top to bottom, in meV per atom: 173 147 114 139 132 177 364 120